# Cs3Np3CdTe8, relaxed, DFT PBE
data_Cs3Np3CdTe8
_chemical_formula_sum 'Cs6 Np6 Cd2 Te16'
_space_group_name_H-M_alt 'C 1 2/m 1'
_space_group_IT_number 12
_space_group_name_Hall '-C 2y'
_cell_length_a 15.6092
_cell_length_b 9.0018
_cell_length_c 10.4514
_cell_angle_alpha 90.00
_cell_angle_beta 119.90
_cell_angle_gamma 90.00
loop_
_atom_site_label
_atom_site_fract_x
_atom_site_fract_y
_atom_site_fract_z
_atom_site_occupancy
Cs1 0.0000 0.0000 0.0000 1
Cs2 0.2500 0.2500 0.0000 1
Np1 0.0000 0.5000 0.5000 1
Np2 0.2500 0.2500 0.5000 1
Cd1 0.0000 0.0000 0.5000 1
Te1 0.0229 0.2538 0.3146 1
Te2 0.2298 0.5000 0.6894 1
Te3 0.2321 0.0000 0.6861 1
# ΔE_f (raw): -758 meV/atom
# Spin magnetization: 20.0 Bohr magnetons per cell

# MnNb2Ga, relaxed, DFT PBE
data_MnNb2Ga
_chemical_formula_sum 'Mn1 Nb2 Ga1'
_space_group_name_H-M_alt 'P 4/m m m'
_space_group_IT_number 123
_space_group_name_Hall '-P 4 2'
_cell_length_a 2.9546
_cell_length_b 2.9546
_cell_length_c 7.2244
_cell_angle_alpha 90.00
_cell_angle_beta 90.00
_cell_angle_gamma 90.00
loop_
_atom_site_label
_atom_site_fract_x
_atom_site_fract_y
_atom_site_fract_z
_atom_site_occupancy
Mn1 0.0000 0.0000 0.0000 1
Nb1 0.5000 0.5000 0.2212 1
Ga1 0.0000 0.0000 0.5000 1
# Spin magnetization: 0.0 Bohr magnetons per cell

# ZnCuAu2, relaxed, DFT PBE
data_ZnCuAu2
_chemical_formula_sum 'Zn1 Cu1 Au2'
_space_group_name_H-M_alt 'P m m 2'
_space_group_IT_number 25
_space_group_name_Hall 'P 2 -2'
_cell_length_a 2.9206
_cell_length_b 3.7527
_cell_length_c 5.7716
_cell_angle_alpha 90.00
_cell_angle_beta 90.00
_cell_angle_gamma 90.00
loop_
_atom_site_label
_atom_site_fract_x
_atom_site_fract_y
_atom_site_fract_z
_atom_site_occupancy
Zn1 0.0000 0.0000 0.0000 1
Cu1 0.5000 0.5000 0.7638 1
Au1 0.0000 0.0000 0.5393 1
Au2 0.5000 0.5000 0.2336 1
# Spin magnetization: 0.0 Bohr magnetons per cell

# LiSi2Ni, relaxed, DFT PBE
data_LiSi2Ni
_chemical_formula_sum 'Li8 Si16 Ni8'
_space_group_name_H-M_alt 'P n m a'
_space_group_IT_number 62
_space_group_name_Hall '-P 2ac 2n'
_cell_length_a 14.4632
_cell_length_b 6.1053
_cell_length_c 4.7978
_cell_angle_alpha 90.00
_cell_angle_beta 90.00
_cell_angle_gamma 90.00
loop_
_atom_site_label
_atom_site_fract_x
_atom_site_fract_y
_atom_site_fract_z
_atom_site_occupancy
Li1 0.1080 0.2500 0.2279 1
Li2 0.1436 0.7500 0.4734 1
Si1 0.0299 0.0508 0.7344 1
Si2 0.2156 0.5524 0.9688 1
Ni1 0.0762 0.7500 0.9899 1
Ni2 0.1708 0.2500 0.7154 1
# Excess energy over the best structure of this formula in the dataset: 0 meV per atom
# ΔE_f (raw): -356 meV/atom
# Spin magnetization: 0.0 Bohr magnetons per cell

# Li2GaB, relaxed, DFT PBE
data_Li2GaB
_chemical_formula_sum 'Li8 Ga4 B4'
_space_group_name_H-M_alt 'I -4 2 d'
_space_group_IT_number 122
_space_group_name_Hall 'I -4 2bw'
_cell_length_a 3.4224
_cell_length_b 3.4224
_cell_length_c 17.4700
_cell_angle_alpha 90.00
_cell_angle_beta 90.00
_cell_angle_gamma 90.00
loop_
_atom_site_label
_atom_site_fract_x
_atom_site_fract_y
_atom_site_fract_z
_atom_site_occupancy
Li1 0.2184 0.2500 0.1250 1
Ga1 0.0000 0.0000 0.5000 1
B1 0.0000 0.0000 0.0000 1
# Excess energy over the best structure of this formula in the dataset: 126 meV per atom
# Spin magnetization: 0.0 Bohr magnetons per cell

# CaAg2Hg6, relaxed, DFT PBE
data_CaAg2Hg6
_chemical_formula_sum 'Ca2 Ag4 Hg12'
_space_group_name_H-M_alt 'C 1 2/m 1'
_space_group_IT_number 12
_space_group_name_Hall '-C 2y'
_cell_length_a 11.9137
_cell_length_b 6.2501
_cell_length_c 6.1282
_cell_angle_alpha 90.00
_cell_angle_beta 98.81
_cell_angle_gamma 90.00
loop_
_atom_site_label
_atom_site_fract_x
_atom_site_fract_y
_atom_site_fract_z
_atom_site_occupancy
Ca1 0.0000 0.0000 0.0000 1
Ag1 0.0911 0.5000 0.8834 1
Hg1 0.0000 0.2404 0.5000 1
Hg2 0.2197 0.2530 0.2541 1
# Spin magnetization: 0.0 Bohr magnetons per cell

# RbIn2Hg2, relaxed, DFT PBE
data_RbIn2Hg2
_chemical_formula_sum 'Rb2 In4 Hg4'
_space_group_name_H-M_alt 'I 4/m m m'
_space_group_IT_number 139
_space_group_name_Hall '-I 4 2'
_cell_length_a 5.5234
_cell_length_b 5.5234
_cell_length_c 10.8375
_cell_angle_alpha 90.00
_cell_angle_beta 90.00
_cell_angle_gamma 90.00
loop_
_atom_site_label
_atom_site_fract_x
_atom_site_fract_y
_atom_site_fract_z
_atom_site_occupancy
Rb1 0.0000 0.0000 0.0000 1
In1 0.0000 0.0000 0.3626 1
Hg1 0.0000 0.5000 0.2500 1
# Excess energy over the best structure of this formula in the dataset: 8 meV per atom
# Spin magnetization: 0.0 Bohr magnetons per cell

# Ag5PS5, relaxed, DFT PBE
data_Ag5PS5
_chemical_formula_sum 'Ag10 P2 S10'
_space_group_name_H-M_alt 'C 1 2/m 1'
_space_group_IT_number 12
_space_group_name_Hall '-C 2y'
_cell_length_a 12.0035
_cell_length_b 5.0329
_cell_length_c 7.2538
_cell_angle_alpha 90.00
_cell_angle_beta 107.88
_cell_angle_gamma 90.00
loop_
_atom_site_label
_atom_site_fract_x
_atom_site_fract_y
_atom_site_fract_z
_atom_site_occupancy
Ag1 0.0000 0.0000 0.0000 1
Ag2 0.1473 0.5000 0.8570 1
Ag3 0.1583 0.5000 0.3198 1
P1 0.0000 0.0000 0.5000 1
S1 0.0000 0.5000 0.5000 1
S2 0.1403 0.0000 0.3276 1
S3 0.1603 0.0000 0.8106 1
# ΔE_f (raw): 51 meV/atom
# Spin magnetization: 0.0 Bohr magnetons per cell

# Cd2PbBr, relaxed, DFT PBE
data_Cd2PbBr
_chemical_formula_sum 'Cd4 Pb2 Br2'
_space_group_name_H-M_alt 'I 4/m m m'
_space_group_IT_number 139
_space_group_name_Hall '-I 4 2'
_cell_length_a 4.4707
_cell_length_b 4.4707
_cell_length_c 11.6204
_cell_angle_alpha 90.00
_cell_angle_beta 90.00
_cell_angle_gamma 90.00
loop_
_atom_site_label
_atom_site_fract_x
_atom_site_fract_y
_atom_site_fract_z
_atom_site_occupancy
Cd1 0.0000 0.5000 0.2500 1
Pb1 0.0000 0.0000 0.0000 1
Br1 0.0000 0.0000 0.5000 1
# Excess energy over the best structure of this formula in the dataset: 104 meV per atom
# ΔE_f (raw): -75 meV/atom
# Spin magnetization: 0.0 Bohr magnetons per cell

# Tm2HfTaN4, relaxed, DFT PBE
data_Tm2HfTaN4
_chemical_formula_sum 'Tm2 Hf1 Ta1 N4'
_space_group_name_H-M_alt 'P 1 2/m 1'
_space_group_IT_number 10
_space_group_name_Hall '-P 2y'
_cell_length_a 5.6291
_cell_length_b 3.2420
_cell_length_c 5.6941
_cell_angle_alpha 90.00
_cell_angle_beta 109.23
_cell_angle_gamma 90.00
loop_
_atom_site_label
_atom_site_fract_x
_atom_site_fract_y
_atom_site_fract_z
_atom_site_occupancy
Tm1 0.0000 0.0000 0.0000 1
Tm2 0.5000 0.5000 0.0000 1
Hf1 0.0000 0.5000 0.5000 1
Ta1 0.5000 0.0000 0.5000 1
N1 0.2450 0.0000 0.7320 1
N2 0.2589 0.5000 0.2697 1
# ΔE_f (raw): -1643 meV/atom
# Spin magnetization: 0.0 Bohr magnetons per cell

# AsOsCl2, relaxed, DFT PBE
data_AsOsCl2
_chemical_formula_sum 'As1 Os1 Cl2'
_space_group_name_H-M_alt 'P m m m'
_space_group_IT_number 47
_space_group_name_Hall '-P 2 2'
_cell_length_a 2.9459
_cell_length_b 4.0589
_cell_length_c 6.0650
_cell_angle_alpha 90.00
_cell_angle_beta 90.00
_cell_angle_gamma 90.00
loop_
_atom_site_label
_atom_site_fract_x
_atom_site_fract_y
_atom_site_fract_z
_atom_site_occupancy
As1 0.0000 0.0000 0.0000 1
Os1 0.0000 0.0000 0.5000 1
Cl1 0.5000 0.5000 0.2665 1
# Excess energy over the best structure of this formula in the dataset: 1299 meV per atom
# ΔE_f (raw): 1225 meV/atom
# Spin magnetization: 2.1 Bohr magnetons per cell

# Be2PPb, relaxed, DFT PBE
data_Be2PPb
_chemical_formula_sum 'Be4 P2 Pb2'
_space_group_name_H-M_alt 'I m m m'
_space_group_IT_number 71
_space_group_name_Hall '-I 2 2'
_cell_length_a 3.4329
_cell_length_b 5.8861
_cell_length_c 7.1633
_cell_angle_alpha 90.00
_cell_angle_beta 90.00
_cell_angle_gamma 90.00
loop_
_atom_site_label
_atom_site_fract_x
_atom_site_fract_y
_atom_site_fract_z
_atom_site_occupancy
Be1 0.0000 0.0000 0.1725 1
P1 0.0000 0.5000 0.5000 1
Pb1 0.0000 0.5000 0.0000 1
# Excess energy over the best structure of this formula in the dataset: 324 meV per atom
# Spin magnetization: 0.0 Bohr magnetons per cell

Uncorrected energy in eV per atom, matching the order above: -5.253, -8.176, -3.089, -4.992, -2.914, -1.159, -1.543, -3.613, -1.878, -9.649, -3.668, -3.673